Crystalline DyThTe3 at its relaxed geometry. Source: Alexandria via LeMat-Bulk, functional PBE.

Lattice parameters (Å, degrees): 6.2296 4.5014 11.7904 90.00 90.00 90.00
Space group Pmma (No. 51)
One atom of each set of equivalent atoms:
Dy 0.2500 0.0000 0.1078 x2
Th 0.2500 0.5000 0.6453 x2
Te 0.0000 0.0000 0.5000 x2
Te 0.2500 0.0000 0.8507 x2
Te 0.2500 0.5000 0.2697 x2

Calculated values
DOS(E_F) = 3.33 states/eV/f.u.
formation energy (no corrections) = -1.07 eV/atom
magnetic moment = 0.0 Bohr magnetons per cell